An optimized crystal structure of LiVF6, computed with PBE+U.

a = 9.2104 Å, b = 9.1628 Å, c = 15.5694 Å
α = 90.00°, β = 125.97°, γ = 90.00°
Space group Pc (No. 7)
Asymmetric unit:
Li1 0.0000 0.0109 0.0000 [2 per cell]
Li2 0.2420 0.3675 0.8707 [2 per cell]
Li3 0.4473 0.1196 0.3694 [2 per cell]
Li4 0.5181 0.3638 0.6525 [2 per cell]
V1 0.1041 0.2784 0.3824 [2 per cell]
V2 0.3620 0.2795 0.1343 [2 per cell]
V3 0.6317 0.2401 0.8985 [2 per cell]
V4 0.8576 0.2140 0.6346 [2 per cell]
F1 0.0078 0.3860 0.4312 [2 per cell]
F2 0.0734 0.2370 0.7642 [2 per cell]
F3 0.0740 0.1127 0.4357 [2 per cell]
F4 0.1521 0.4399 0.3341 [2 per cell]
F5 0.1938 0.1363 0.0940 [2 per cell]
F6 0.2223 0.4062 0.1413 [2 per cell]
F7 0.2260 0.1672 0.3446 [2 per cell]
F8 0.2513 0.3233 0.9935 [2 per cell]
F9 0.3272 0.3060 0.5131 [2 per cell]
F10 0.4687 0.3591 0.8952 [2 per cell]
F11 0.4715 0.2296 0.2734 [2 per cell]
F12 0.4808 0.0840 0.8702 [2 per cell]
F13 0.5022 0.1531 0.1279 [2 per cell]
F14 0.5049 0.2593 0.7526 [2 per cell]
F15 0.5224 0.4272 0.1710 [2 per cell]
F16 0.6422 0.1897 0.5047 [2 per cell]
F17 0.7439 0.3239 0.6775 [2 per cell]
F18 0.7485 0.2134 0.0365 [2 per cell]
F19 0.7647 0.3904 0.9135 [2 per cell]
F20 0.7837 0.1113 0.8978 [2 per cell]
F21 0.8168 0.0553 0.6835 [2 per cell]
F22 0.8988 0.2523 0.2580 [2 per cell]
F23 0.8995 0.3758 0.5893 [2 per cell]
F24 0.9654 0.1036 0.5887 [2 per cell]

DFT total energy = -41.628 eV per formula unit
V = 16.617 A^3/atom
DOS(E_F) = 0.00 states/eV/cell